No. 1
The following is a PBE calculation of Ac2Cd2Ru after structural relaxation, from Alexandria.

```
Ac2Cd2Ru
1.0
4.089 0.000 0.000
-2.036 6.136 0.000
-2.044 -2.139 11.760
Ac Cd Ru
4 4 2
Cartesian
-1.022 0.805 4.233
-1.021 0.192 9.920
1.030 3.804 1.840
1.031 3.191 7.528
-3.059 3.003 11.089
-1.015 4.220 4.649
1.023 -0.223 7.111
3.068 0.993 0.671
1.023 -0.209 2.356
-1.014 4.205 9.405
```

Output
electronic total energy: -40.8 eV/cell
symmetry: No. 2
M_tot: 0.000 μB/atom

No. 2
The following is a PBE calculation of Ac7Cd2Ru2 after structural relaxation, from Alexandria.

```
Ac7Cd2Ru2
1.0
-2.058 8.268 5.670
2.058 -8.268 5.670
2.058 8.268 -5.670
Ac Cd Ru
7 2 2
Cartesian
0.000 0.000 0.000
2.058 -2.454 2.193
2.058 5.487 -0.017
2.058 2.454 2.193
0.000 5.783 3.538
0.000 2.782 5.653
0.000 10.754 3.538
2.058 0.000 5.022
0.000 0.000 7.739
0.000 3.166 0.067
0.000 13.371 0.067
```

Output
symmetry: No. 44
energy above the lowest structure with this stoichiometry: 0.007 eV per atom
M_tot: 0.000 μB/atom

No. 3
The following is a PBE calculation of Ac4CdRu after structural relaxation, from Alexandria.

```
Ac4CdRu
1.0
4.919 -7.943 0.000
4.919 7.943 0.000
-4.085 0.000 6.062
Ac Cd Ru
8 2 2
Cartesian
-0.047 4.634 5.107
-0.735 0.712 4.369
1.308 -0.712 1.338
3.757 4.634 3.985
1.996 -4.634 2.076
4.445 0.712 4.723
6.488 -0.712 1.693
5.800 -4.634 0.954
3.898 1.854 1.515
1.855 -1.854 4.546
1.855 6.650 4.546
3.898 -6.650 1.515
```

Output
symmetry: No. 15
energy above the lowest structure with this stoichiometry: 0.091 eV per atom
M_tot: 0.000 μB/atom

No. 4
The following is a PBE calculation of Ac12Cd3Ru5 after structural relaxation, from Alexandria.

```
Ac12Cd3Ru5
1.0
-9.109 9.109 9.109
9.109 -9.109 9.109
9.109 9.109 -9.109
Ac Cd Ru
48 12 20
Cartesian
2.711 -0.575 1.004
10.953 5.558 -5.130
11.820 0.575 1.004
10.953 -3.551 5.130
8.534 -1.004 2.711
14.239 -1.844 3.551
1.004 2.711 -0.575
12.660 3.980 -1.844
5.558 5.130 -1.844
8.105 2.711 0.575
-0.575 1.004 2.711
5.130 -1.844 5.558
8.534 8.105 -2.711
5.130 1.844 3.551
5.558 -5.130 10.953
8.105 -2.711 8.534
3.551 5.130 1.844
10.113 6.398 0.575
5.130 10.953 -3.551
8.534 1.004 6.398
2.711 8.534 -1.004
10.953 3.551 3.980
1.844 3.551 5.130
2.711 0.575 8.105
6.398 8.534 1.004
7.265 5.558 3.980
-1.844 5.558 5.130
6.398 0.575 10.113
0.575 8.105 2.711
3.980 -1.844 12.660
-1.004 2.711 8.534
5.558 3.980 7.265
1.004 11.820 0.575
3.551 14.239 -1.844
3.980 7.265 5.558
0.575 1.004 11.820
3.980 10.953 3.551
9.684 8.105 6.398
1.004 6.398 8.534
3.551 3.980 10.953
-3.551 5.130 10.953
8.105 6.398 9.684
-5.130 10.953 5.558
0.575 10.113 6.398
-1.844 12.660 3.980
-2.711 8.534 8.105
-1.844 3.551 14.239
6.398 9.684 8.105
4.555 2.277 0.000
9.109 4.555 -2.277
2.277 0.000 4.555
11.386 0.000 4.555
0.000 4.555 2.277
4.555 -2.277 9.109
4.555 11.386 0.000
9.109 4.555 6.832
-2.277 9.109 4.555
6.832 9.109 4.555
0.000 4.555 11.386
4.555 6.832 9.109
0.000 0.000 0.000
4.555 4.555 -4.555
4.555 -4.555 4.555
9.109 0.000 0.000
13.664 2.277 0.000
9.109 -4.555 6.832
6.832 9.109 -4.555
6.832 0.000 4.555
4.555 6.832 0.000
9.109 4.555 2.277
-4.555 4.555 4.555
0.000 9.109 0.000
0.000 0.000 9.109
4.555 4.555 4.555
0.000 4.555 6.832
4.555 2.277 9.109
2.277 9.109 4.555
2.277 0.000 13.664
0.000 13.664 2.277
-4.555 6.832 9.109
```

Output
electronic total energy: -394.7 eV/cell
symmetry: No. 230
M_tot: 0.000 μB/atom

No. 5
The following is a PBE calculation of Ac2CdRu2 after structural relaxation, from Alexandria.

```
Ac2CdRu2
1.0
-2.320 3.040 4.521
2.320 -3.040 4.521
2.320 3.040 -4.521
Ac Cd Ru
2 1 2
Cartesian
0.000 0.000 1.865
0.000 0.000 7.177
0.000 3.040 0.000
2.320 1.285 0.000
0.000 1.754 4.521
```

Output
electronic total energy: -28.2 eV/cell
symmetry: No. 71
M_tot: 0.000 μB/atom

No. 6
The following is a PBE calculation of AcTbCdRu after structural relaxation, from Alexandria.

```
AcTbCdRu
1.0
0.000 3.728 3.728
3.728 0.000 3.728
3.728 3.728 0.000
Ac Tb Cd Ru
1 1 1 1
Cartesian
0.000 0.000 0.000
3.728 3.728 3.728
5.592 5.592 5.592
1.864 1.864 1.864
```

Output
electronic total energy: -19.4 eV/cell
symmetry: No. 216
M_tot: 0.000 μB/atom

No. 7
The following is a PBE calculation of Ac2ZnCdRu after structural relaxation, from Alexandria.

```
Ac2ZnCdRu
1.0
7.816 0.000 0.000
0.000 4.487 0.000
-2.408 0.000 8.016
Ac Zn Cd Ru
4 2 2 2
Cartesian
0.170 1.122 2.763
-0.176 1.122 7.600
5.583 3.366 0.416
5.238 3.366 5.253
2.633 3.366 2.437
2.774 1.122 5.579
1.202 3.366 5.208
4.205 1.122 2.808
0.725 3.366 0.758
4.682 1.122 7.258
```

Output
electronic total energy: -41.7 eV/cell
symmetry: No. 11
M_tot: 0.000 μB/atom

No. 8
The following is a PBE calculation of Ac3CdS6 after structural relaxation, from Alexandria.

```
Ac3CdS6
1.0
5.895 -7.343 0.000
5.895 7.343 0.000
0.000 0.000 6.815
Ac Cd S
6 2 12
Cartesian
5.895 5.710 3.408
3.724 1.583 2.975
3.724 -1.583 6.383
8.066 1.583 2.975
8.066 -1.583 6.383
5.895 -5.710 0.000
5.895 2.822 6.069
5.895 -2.822 2.662
3.918 3.896 4.836
1.879 0.228 4.890
1.879 -0.228 1.482
5.895 3.216 1.727
7.872 3.896 4.836
5.895 0.418 5.009
5.895 -0.418 1.602
3.918 -3.896 1.428
5.895 -3.216 5.135
9.911 0.228 4.890
9.911 -0.228 1.482
7.872 -3.896 1.428
```

Output
symmetry: No. 36
E_form (uncorrected): -16.7 eV per formula unit
M_tot: 0.000 μB/atom

No. 9
The following is a PBE calculation of AcCdS3 after structural relaxation, from Alexandria.

```
AcCdS3
1.0
3.368 -7.593 0.000
3.368 7.593 0.000
0.000 0.000 4.805
Ac Cd S
2 2 6
Cartesian
3.368 5.112 0.000
3.368 -5.112 0.000
3.368 1.656 2.402
3.368 -1.656 2.402
1.684 3.796 2.402
1.086 0.000 2.402
3.368 2.079 0.000
1.684 -3.796 2.402
3.368 -2.079 0.000
5.649 0.000 2.402
```

Output
symmetry: No. 65
E_form (uncorrected): -5.2 eV per formula unit
M_tot: 0.000 μB/atom

No. 10
The following is a PBE calculation of Ac4Cd2S after structural relaxation, from Alexandria.

```
Ac4Cd2S
1.0
7.112 -2.209 0.000
7.112 2.209 0.000
-5.378 0.000 7.926
Ac Cd S
4 2 1
Cartesian
-0.702 0.000 2.946
-0.197 0.000 7.306
9.043 0.000 0.619
9.548 0.000 4.980
3.685 0.000 2.589
5.161 0.000 5.337
0.000 0.000 0.000
```

Output
symmetry: No. 12
energy above the lowest structure with this stoichiometry: 0.000 eV per atom
E_form (uncorrected): -4.8 eV per formula unit
M_tot: 0.000 μB/atom

No. 11
The following is a PBE calculation of AcCdS after structural relaxation, from Alexandria.

```
AcCdS
1.0
5.150 -1.959 0.000
5.150 1.959 0.000
-1.212 0.000 8.802
Ac Cd S
2 2 2
Cartesian
1.079 0.000 1.519
8.008 0.000 7.283
0.808 0.000 4.989
8.279 0.000 3.813
3.923 0.000 0.991
5.165 0.000 7.811
```

Output
symmetry: No. 12
E_form (uncorrected): -3.1 eV per formula unit
M_tot: 0.000 μB/atom

No. 12
The following is a PBE calculation of Ac4Cd2S after structural relaxation, from Alexandria.

```
Ac4Cd2S
1.0
-2.892 2.892 8.062
2.892 -2.892 8.062
2.892 2.892 -8.062
Ac Cd S
4 2 1
Cartesian
2.892 0.000 0.000
0.000 0.000 3.030
0.000 2.892 0.000
0.000 0.000 13.094
0.000 0.000 6.262
0.000 0.000 9.862
0.000 0.000 0.000
```

Output
symmetry: No. 139
energy above the lowest structure with this stoichiometry: 0.123 eV per atom
E_form (uncorrected): -3.9 eV per formula unit
M_tot: 0.000 μB/atom

| no. | D(E_F) (states/eV/cell) |
| --- | --- |
| 1 | 7.60 |
| 2 | 11.61 |
| 3 | 12.94 |
| 4 | 80.67 |
| 5 | 5.62 |
| 6 | 3.87 |
| 7 | 6.46 |
| 8 | 20.02 |
| 9 | 1.74 |
| 10 | 7.47 |
| 11 | 3.53 |
| 12 | 5.01 |